1.
Here is NdEr2Tl2Zn3Cd after structural relaxation from OQMD via LeMat-Bulk. Energies are from GGA-PBE.

symmetry	Amm2 (38)
energy	-2.883	eV/atom
V	209.1	Å³ per cell

abc: 4.567 7.308 7.308
angles: 121.01 90.00 90.00
Atoms (fractional coordinates):
Cd: 0.000 0.011 0.011
Er: 0.000 0.996 0.425
Er: 0.000 0.425 0.996
Nd: 0.000 0.572 0.572
Tl: 0.500 0.668 0.326
Tl: 0.500 0.326 0.668
Zn: 0.500 0.232 0.232
Zn: 0.500 0.999 0.771
Zn: 0.500 0.771 0.999


2.
Here is ErCdNi4 after structural relaxation from OQMD via LeMat-Bulk. Energies are from GGA-PBE.

symmetry	F-43m (216)
energy	-4.999	eV/atom
calculated formation energy	-378	meV/atom
V	85.4	Å³ per cell

abc: 4.942 4.942 4.942
angles: 60.00 60.00 60.00
Atoms (fractional coordinates):
Cd: 0.000 0.000 0.000
Er: 0.250 0.250 0.250
Ni: 0.626 0.626 0.123
Ni: 0.626 0.626 0.626
Ni: 0.123 0.626 0.626
Ni: 0.626 0.123 0.626


| no. | size of the total moment (μB/f.u.) |
| --- | --- |
| 1 | 0.01 |
| 2 | 0.01 |